## Cs2RbUSe6 (GGA-PBE)

Data for a relaxed structure of Cs2RbUSe6.

Properties
Formation energy without anion corrections: -0.848 eV/atom
ρ: 4.068 g/cm³
Crystal system: cubic

Geometry as CIF:
```
data_Cs2RbUSe6
_chemical_formula_sum 'Cs8 Rb4 U4 Se24'
_cell_length_a 12.018
_cell_length_b 12.018
_cell_length_c 12.018
_cell_angle_alpha 90.00
_cell_angle_beta 90.00
_cell_angle_gamma 90.00
_space_group_name_H-M_alt 'F m -3 m'
_space_group_IT_number 225
_space_group_name_Hall '-F 4 2 3'
loop_
_atom_site_label
_atom_site_type_symbol
_atom_site_fract_x
_atom_site_fract_y
_atom_site_fract_z
_atom_site_occupancy
Cs1 Cs 0.250 0.250 0.250 1
Rb1 Rb 0.000 0.000 0.000 1
U1 U 0.000 0.000 0.500 1
Se1 Se 0.000 0.000 0.279 1
```

=====

## NdSi4Ni4 (GGA-PBE)

Data for a relaxed structure of NdSi4Ni4.

Properties
Formation energy without anion corrections: -0.611 eV/atom
ρ: 6.417 g/cm³
Crystal system: tetragonal

Geometry as CIF:
```
data_NdSi4Ni4
_chemical_formula_sum 'Nd2 Si8 Ni8'
_cell_length_a 5.688
_cell_length_b 5.688
_cell_length_c 7.859
_cell_angle_alpha 90.00
_cell_angle_beta 90.00
_cell_angle_gamma 90.00
_space_group_name_H-M_alt 'P 42/n m c'
_space_group_IT_number 137
loop_
_space_group_symop_operation_xyz
'x,y,z'
'-x,-y,-z'
'-y+1/2,x,z+1/2'
'y+1/2,-x,-z+1/2'
'-x+1/2,-y+1/2,z'
'x+1/2,y+1/2,-z'
'y,-x+1/2,z+1/2'
'-y,x+1/2,-z+1/2'
'x+1/2,-y,-z'
'-x+1/2,y,z'
'-y,-x,-z+1/2'
'y,x,z+1/2'
'-x,y+1/2,-z'
'x,-y+1/2,z'
'y+1/2,x+1/2,-z+1/2'
'-y+1/2,-x+1/2,z+1/2'
loop_
_atom_site_label
_atom_site_type_symbol
_atom_site_fract_x
_atom_site_fract_y
_atom_site_fract_z
_atom_site_occupancy
Nd1 Nd 0.250 0.750 0.250 1
Si1 Si 0.041 0.250 0.076 1
Ni1 Ni 0.024 0.250 0.370 1
```

=====

## K2LiTc (GGA-PBE)

Data for a relaxed structure of K2LiTc.

Properties
Energy relative to the elements: 4.5 eV/f.u.
ρ: 2.830 g/cm³
Crystal system: monoclinic
E above lowest polymorph: 222 meV per atom

Geometry as CIF:
```
data_K2LiTc
_chemical_formula_sum 'K4 Li2 Tc2'
_cell_length_a 6.743
_cell_length_b 11.586
_cell_length_c 2.848
_cell_angle_alpha 90.00
_cell_angle_beta 104.97
_cell_angle_gamma 90.00
_space_group_name_H-M_alt 'C 1 2/m 1'
_space_group_IT_number 12
_space_group_name_Hall '-C 2y'
loop_
_atom_site_label
_atom_site_type_symbol
_atom_site_fract_x
_atom_site_fract_y
_atom_site_fract_z
_atom_site_occupancy
K1 K 0.250 0.250 0.000 1
Li1 Li 0.000 0.000 0.500 1
Tc1 Tc 0.000 0.500 0.500 1
```

=====

## GeMo (GGA-PBE)

Data for a relaxed structure of GeMo.

Properties
Energy relative to the elements: 0.5 eV/f.u.
ρ: 8.286 g/cm³
Crystal system: orthorhombic

Geometry as CIF:
```
data_GeMo
_chemical_formula_sum 'Ge16 Mo16'
_cell_length_a 7.114
_cell_length_b 7.697
_cell_length_c 9.873
_cell_angle_alpha 90.00
_cell_angle_beta 90.00
_cell_angle_gamma 90.00
_space_group_name_H-M_alt 'F d d d'
_space_group_IT_number 70
loop_
_space_group_symop_operation_xyz
'x,y,z'
'-x,-y,-z'
'-x+1/4,-y+1/4,z'
'x+1/4,y+1/4,-z'
'x,-y+1/4,-z+1/4'
'-x,y+1/4,z+1/4'
'-x+1/4,y,-z+1/4'
'x+1/4,-y,z+1/4'
'x,y+1/2,z+1/2'
'-x,-y+1/2,-z+1/2'
'-x+1/4,-y+3/4,z+1/2'
'x+1/4,y+3/4,-z+1/2'
'x,-y+3/4,-z+3/4'
'-x,y+3/4,z+3/4'
'-x+1/4,y+1/2,-z+3/4'
'x+1/4,-y+1/2,z+3/4'
'x+1/2,y,z+1/2'
'-x+1/2,-y,-z+1/2'
'-x+3/4,-y+1/4,z+1/2'
'x+3/4,y+1/4,-z+1/2'
'x+1/2,-y+1/4,-z+3/4'
'-x+1/2,y+1/4,z+3/4'
'-x+3/4,y,-z+3/4'
'x+3/4,-y,z+3/4'
'x+1/2,y+1/2,z'
'-x+1/2,-y+1/2,-z'
'-x+3/4,-y+3/4,z'
'x+3/4,y+3/4,-z'
'x+1/2,-y+3/4,-z+1/4'
'-x+1/2,y+3/4,z+1/4'
'-x+3/4,y+1/2,-z+1/4'
'x+3/4,-y+1/2,z+1/4'
loop_
_atom_site_label
_atom_site_type_symbol
_atom_site_fract_x
_atom_site_fract_y
_atom_site_fract_z
_atom_site_occupancy
Ge1 Ge 0.125 0.322 0.125 1
Mo1 Mo 0.054 0.375 0.875 1
```

=====

## SrAs2SeO8 (GGA-PBE)

Data for a relaxed structure of SrAs2SeO8.

Properties
Formation energy without anion corrections: -1.230 eV/atom
ρ: 4.347 g/cm³
Crystal system: trigonal

Geometry as CIF:
```
data_SrAs2SeO8
_chemical_formula_sum 'Sr3 As6 Se3 O24'
_cell_length_a 4.9331
_cell_length_b 4.9331
_cell_length_c 24.1682
_cell_angle_alpha 90.00
_cell_angle_beta 90.00
_cell_angle_gamma 120.00
_space_group_name_H-M_alt 'R 3 2'
_space_group_IT_number 155
_space_group_name_Hall 'R 3 2"'
loop_
_atom_site_label
_atom_site_type_symbol
_atom_site_fract_x
_atom_site_fract_y
_atom_site_fract_z
_atom_site_occupancy
Sr1 Sr 0.0000 0.0000 0.0000 1
As1 As 0.0000 0.0000 0.2438 1
Se1 Se 0.0000 0.0000 0.5000 1
O1 O 0.0000 0.0000 0.3141 1
O2 O 0.0062 0.3215 0.4437 1
```

=====

## PrGd2Mn (GGA-PBE)

Data for a relaxed structure of PrGd2Mn.

Properties
Energy relative to the elements: 0.7 eV/f.u.
ρ: 7.368 g/cm³
Crystal system: tetragonal
E above lowest polymorph: 0 meV per atom

Geometry as CIF:
```
data_PrGd2Mn
_chemical_formula_sum 'Pr1 Gd2 Mn1'
_cell_length_a 3.618
_cell_length_b 3.618
_cell_length_c 8.785
_cell_angle_alpha 90.00
_cell_angle_beta 90.00
_cell_angle_gamma 90.00
_space_group_name_H-M_alt 'P 4/m m m'
_space_group_IT_number 123
_space_group_name_Hall '-P 4 2'
loop_
_atom_site_label
_atom_site_type_symbol
_atom_site_fract_x
_atom_site_fract_y
_atom_site_fract_z
_atom_site_occupancy
Pr1 Pr 0.000 0.000 0.000 1
Gd1 Gd 0.500 0.500 0.302 1
Mn1 Mn 0.000 0.000 0.500 1
```

=====

## NdSe2O5 (GGA-PBE)

Data for a relaxed structure of NdSe2O5.

Properties
Formation energy without anion corrections: -1.442 eV/atom
ρ: 4.343 g/cm³
Crystal system: orthorhombic

Geometry as CIF:
```
data_NdSe2O5
_chemical_formula_sum 'Nd4 Se8 O20'
_cell_length_a 7.212
_cell_length_b 11.080
_cell_length_c 7.313
_cell_angle_alpha 90.00
_cell_angle_beta 90.00
_cell_angle_gamma 90.00
_space_group_name_H-M_alt 'P b c n'
_space_group_IT_number 60
_space_group_name_Hall '-P 2n 2ab'
loop_
_atom_site_label
_atom_site_type_symbol
_atom_site_fract_x
_atom_site_fract_y
_atom_site_fract_z
_atom_site_occupancy
Nd1 Nd 0.000 0.066 0.250 1
Se1 Se 0.116 0.361 0.032 1
O1 O 0.000 0.428 0.250 1
O2 O 0.167 0.064 0.536 1
O3 O 0.173 0.224 0.128 1
```

=====

## LiPr2In (GGA-PBE)

Data for a relaxed structure of LiPr2In.

Properties
Energy relative to the elements: 0.7 eV/f.u.
ρ: 5.336 g/cm³
Crystal system: trigonal

Geometry as CIF:
```
data_LiPr2In
_chemical_formula_sum 'Li3 Pr6 In3'
_cell_length_a 3.4597
_cell_length_b 3.4597
_cell_length_c 36.3439
_cell_angle_alpha 90.00
_cell_angle_beta 90.00
_cell_angle_gamma 120.00
_space_group_name_H-M_alt 'R -3 m'
_space_group_IT_number 166
_space_group_name_Hall '-R 3 2"'
loop_
_atom_site_label
_atom_site_type_symbol
_atom_site_fract_x
_atom_site_fract_y
_atom_site_fract_z
_atom_site_occupancy
Li1 Li 0.0000 0.0000 0.0000 1
Pr1 Pr 0.0000 0.0000 0.4093 1
In1 In 0.0000 0.0000 0.5000 1
```

=====

## NdDy6Y2Sc3 (GGA-PBE)

Data for a relaxed structure of NdDy6Y2Sc3.

Properties
Energy relative to the elements: 0.6 eV/f.u.
ρ: 6.594 g/cm³
Crystal system: monoclinic

Geometry as CIF:
```
data_NdDy6Y2Sc3
_chemical_formula_sum 'Nd2 Dy12 Y4 Sc6'
_cell_length_a 6.064
_cell_length_b 10.497
_cell_length_c 11.507
_cell_angle_alpha 90.00
_cell_angle_beta 100.08
_cell_angle_gamma 90.00
_space_group_name_H-M_alt 'C 1 2/m 1'
_space_group_IT_number 12
_space_group_name_Hall '-C 2y'
loop_
_atom_site_label
_atom_site_type_symbol
_atom_site_fract_x
_atom_site_fract_y
_atom_site_fract_z
_atom_site_occupancy
Nd1 Nd 0.000 0.000 0.000 1
Dy1 Dy 0.246 0.000 0.739 1
Dy2 Dy 0.246 0.333 0.739 1
Y1 Y 0.000 0.333 0.000 1
Sc1 Sc 0.000 0.167 0.500 1
Sc2 Sc 0.000 0.500 0.500 1
```

=====

## Ti4NbB4 (GGA-PBE)

Data for a relaxed structure of Ti4NbB4.

Properties
Energy relative to the elements: -2.9 eV/f.u.
ρ: 4.820 g/cm³
Crystal system: tetragonal

Geometry as CIF:
```
data_Ti4NbB4
_chemical_formula_sum 'Ti8 Nb2 B8'
_cell_length_a 7.080
_cell_length_b 7.080
_cell_length_c 4.504
_cell_angle_alpha 90.00
_cell_angle_beta 90.00
_cell_angle_gamma 90.00
_space_group_name_H-M_alt 'P 42/n'
_space_group_IT_number 86
loop_
_space_group_symop_operation_xyz
'x,y,z'
'-x,-y,-z'
'-y,x+1/2,z+1/2'
'y,-x+1/2,-z+1/2'
'-x+1/2,-y+1/2,z'
'x+1/2,y+1/2,-z'
'y+1/2,-x,z+1/2'
'-y+1/2,x,-z+1/2'
loop_
_atom_site_label
_atom_site_type_symbol
_atom_site_fract_x
_atom_site_fract_y
_atom_site_fract_z
_atom_site_occupancy
Ti1 Ti 0.066 0.671 0.128 1
Nb1 Nb 0.250 0.250 0.250 1
B1 B 0.015 0.597 0.615 1
```

=====

## LiPSe (GGA-PBE)

Data for a relaxed structure of LiPSe.

Properties
Formation energy without anion corrections: 0.062 eV/atom
ρ: 3.409 g/cm³
Crystal system: trigonal
E above lowest polymorph: 620 meV per atom

Geometry as CIF:
```
data_LiPSe
_chemical_formula_sum 'Li1 P1 Se1'
_cell_length_a 2.8120
_cell_length_b 2.8120
_cell_length_c 8.3147
_cell_angle_alpha 90.00
_cell_angle_beta 90.00
_cell_angle_gamma 120.00
_space_group_name_H-M_alt 'P 3 m 1'
_space_group_IT_number 156
_space_group_name_Hall 'P 3 -2"'
loop_
_atom_site_label
_atom_site_type_symbol
_atom_site_fract_x
_atom_site_fract_y
_atom_site_fract_z
_atom_site_occupancy
Li1 Li 0.0000 0.0000 0.0000 1
P1 P 0.6667 0.3333 0.2496 1
Se1 Se 0.3333 0.6667 0.7450 1
```

=====

## Sr4As2H (GGA-PBE)

Data for a relaxed structure of Sr4As2H.

Properties
ρ: 3.870 g/cm³
Crystal system: orthorhombic
E above lowest polymorph: 46 meV per atom

Geometry as CIF:
```
data_Sr4As2H
_chemical_formula_sum 'Sr16 As8 H4'
_cell_length_a 8.983
_cell_length_b 7.308
_cell_length_c 13.109
_cell_angle_alpha 90.00
_cell_angle_beta 90.00
_cell_angle_gamma 90.00
_space_group_name_H-M_alt 'P n m a'
_space_group_IT_number 62
_space_group_name_Hall '-P 2ac 2n'
loop_
_atom_site_label
_atom_site_type_symbol
_atom_site_fract_x
_atom_site_fract_y
_atom_site_fract_z
_atom_site_occupancy
Sr1 Sr 0.066 0.250 0.072 1
Sr2 Sr 0.160 0.501 0.350 1
Sr3 Sr 0.193 0.250 0.603 1
As1 As 0.024 0.250 0.823 1
As2 As 0.097 0.750 0.545 1
H1 H 0.204 0.750 0.931 1
```

=====

## NdScPdSe3 (GGA-PBE)

Data for a relaxed structure of NdScPdSe3.

Properties
Formation energy without anion corrections: -1.512 eV/atom
ρ: 6.594 g/cm³
Crystal system: monoclinic

Geometry as CIF:
```
data_NdScPdSe3
_chemical_formula_sum 'Nd2 Sc2 Pd2 Se6'
_cell_length_a 7.486
_cell_length_b 3.927
_cell_length_c 9.407
_cell_angle_alpha 90.00
_cell_angle_beta 104.11
_cell_angle_gamma 90.00
_space_group_name_H-M_alt 'P 1 21/m 1'
_space_group_IT_number 11
_space_group_name_Hall '-P 2yb'
loop_
_atom_site_label
_atom_site_type_symbol
_atom_site_fract_x
_atom_site_fract_y
_atom_site_fract_z
_atom_site_occupancy
Nd1 Nd 0.222 0.250 0.290 1
Sc1 Sc 0.312 0.750 0.824 1
Pd1 Pd 0.108 0.250 0.595 1
Se1 Se 0.071 0.250 0.858 1
Se2 Se 0.309 0.750 0.537 1
Se3 Se 0.420 0.750 0.134 1
```

=====

## PaCoAs2 (GGA-PBE)

Data for a relaxed structure of PaCoAs2.

Properties
Energy relative to the elements: 0.5 eV/f.u.
ρ: 6.159 g/cm³
Crystal system: trigonal

Geometry as CIF:
```
data_PaCoAs2
_chemical_formula_sum 'Pa3 Co3 As6'
_cell_length_a 4.3006
_cell_length_b 4.3006
_cell_length_c 22.2081
_cell_angle_alpha 90.00
_cell_angle_beta 90.00
_cell_angle_gamma 120.00
_space_group_name_H-M_alt 'R -3 m'
_space_group_IT_number 166
_space_group_name_Hall '-R 3 2"'
loop_
_atom_site_label
_atom_site_type_symbol
_atom_site_fract_x
_atom_site_fract_y
_atom_site_fract_z
_atom_site_occupancy
Pa1 Pa 0.0000 0.0000 0.0000 1
Co1 Co 0.0000 0.0000 0.5000 1
As1 As 0.0000 0.0000 0.3964 1
```

=====

## KLiTaF6 (GGA-PBE)

Data for a relaxed structure of KLiTaF6.

Properties
Formation energy without anion corrections: -3.008 eV/atom
ρ: 3.818 g/cm³
Crystal system: trigonal

Geometry as CIF:
```
data_KLiTaF6
_chemical_formula_sum 'K2 Li2 Ta2 F12'
_cell_length_a 5.5543
_cell_length_b 5.5543
_cell_length_c 11.1006
_cell_angle_alpha 90.00
_cell_angle_beta 90.00
_cell_angle_gamma 120.00
_space_group_name_H-M_alt 'P -3 1 c'
_space_group_IT_number 163
_space_group_name_Hall '-P 3 2c'
loop_
_atom_site_label
_atom_site_type_symbol
_atom_site_fract_x
_atom_site_fract_y
_atom_site_fract_z
_atom_site_occupancy
K1 K 0.0000 0.0000 0.0000 1
Li1 Li 0.3333 0.6667 0.2500 1
Ta1 Ta 0.3333 0.6667 0.7500 1
F1 F 0.0090 0.3720 0.6577 1
```

=====

## LaRuSe2 (GGA-PBE)

Data for a relaxed structure of LaRuSe2.

Properties
Formation energy without anion corrections: -0.679 eV/atom
ρ: 6.163 g/cm³
Crystal system: tetragonal
E above lowest polymorph: 249 meV per atom

Geometry as CIF:
```
data_LaRuSe2
_chemical_formula_sum 'La4 Ru4 Se8'
_cell_length_a 5.406
_cell_length_b 5.406
_cell_length_c 14.671
_cell_angle_alpha 90.00
_cell_angle_beta 90.00
_cell_angle_gamma 90.00
_space_group_name_H-M_alt 'I -4 2 d'
_space_group_IT_number 122
_space_group_name_Hall 'I -4 2bw'
loop_
_atom_site_label
_atom_site_type_symbol
_atom_site_fract_x
_atom_site_fract_y
_atom_site_fract_z
_atom_site_occupancy
La1 La 0.000 0.000 0.000 1
Ru1 Ru 0.000 0.000 0.500 1
Se1 Se 0.169 0.250 0.625 1
```

=====

## SbHO2F (GGA-PBE)

Data for a relaxed structure of SbHO2F.

Properties
ρ: 3.802 g/cm³
Calculated total energy: -5.2118 eV per atom
Crystal system: orthorhombic

Geometry as CIF:
```
data_SbHO2F
_chemical_formula_sum 'Sb1 H1 O2 F1'
_cell_length_a 4.329
_cell_length_b 4.361
_cell_length_c 4.019
_cell_angle_alpha 90.00
_cell_angle_beta 90.00
_cell_angle_gamma 90.00
_space_group_name_H-M_alt 'P m m 2'
_space_group_IT_number 25
_space_group_name_Hall 'P 2 -2'
loop_
_atom_site_label
_atom_site_type_symbol
_atom_site_fract_x
_atom_site_fract_y
_atom_site_fract_z
_atom_site_occupancy
Sb1 Sb 0.000 0.000 0.000 1
H1 H 0.000 0.500 0.690 1
O1 O 0.000 0.000 0.494 1
O2 O 0.000 0.500 0.936 1
F1 F 0.500 0.000 0.999 1
```

=====

## HgOs2Ru (GGA-PBE)

Data for a relaxed structure of HgOs2Ru.

Properties
Energy relative to the elements: 4.7 eV/f.u.
ρ: 15.916 g/cm³
Crystal system: tetragonal

Geometry as CIF:
```
data_HgOs2Ru
_chemical_formula_sum 'Hg4 Os8 Ru4'
_cell_length_a 7.365
_cell_length_b 7.365
_cell_length_c 5.247
_cell_angle_alpha 90.00
_cell_angle_beta 90.00
_cell_angle_gamma 90.00
_space_group_name_H-M_alt 'I -4 2 d'
_space_group_IT_number 122
_space_group_name_Hall 'I -4 2bw'
loop_
_atom_site_label
_atom_site_type_symbol
_atom_site_fract_x
_atom_site_fract_y
_atom_site_fract_z
_atom_site_occupancy
Hg1 Hg 0.000 0.000 0.000 1
Os1 Os 0.199 0.250 0.625 1
Ru1 Ru 0.000 0.000 0.500 1
```

=====

## Ca3Al2O6 (GGA-PBE)

Data for a relaxed structure of Ca3Al2O6.

Properties
Formation energy without anion corrections: -2.485 eV/atom
ρ: 2.988 g/cm³
Crystal system: cubic
E above lowest polymorph: 484 meV per atom

Geometry as CIF:
```
data_Ca3Al2O6
_chemical_formula_sum 'Ca9 Al6 O18'
_cell_length_a 7.666
_cell_length_b 7.666
_cell_length_c 7.666
_cell_angle_alpha 90.00
_cell_angle_beta 90.00
_cell_angle_gamma 90.00
_space_group_name_H-M_alt 'P m -3 m'
_space_group_IT_number 221
_space_group_name_Hall '-P 4 2 3'
loop_
_atom_site_label
_atom_site_type_symbol
_atom_site_fract_x
_atom_site_fract_y
_atom_site_fract_z
_atom_site_occupancy
Ca1 Ca 0.000 0.000 0.000 1
Ca2 Ca 0.292 0.292 0.292 1
Al1 Al 0.000 0.000 0.500 1
Al2 Al 0.000 0.500 0.500 1
O1 O 0.000 0.237 0.500 1
O2 O 0.233 0.500 0.500 1
```